No. 1
VASP calculation (GGA-PBE) on SrTi3Ga after structural relaxation.

Geometry as POSCAR:
```
SrTi3Ga
1.0
-3.954 -2.005 -1.730
2.282 -4.158 -0.396
-1.345 -1.158 4.416
Sr Ga Ti
1 1 3
Cartesian
0.000 0.000 0.000
-1.509 -3.661 1.145
1.141 -2.079 -0.198
-0.672 -0.579 2.208
-1.977 -1.003 -0.865
```

Offset from the most stable computed form   1.2234 eV/atom


No. 2
VASP calculation (GGA-PBE) on Sr2TiGa2 after structural relaxation.

Geometry as POSCAR:
```
Sr2TiGa2
1.0
-4.371 4.882 3.435
-3.390 -5.534 3.552
3.372 0.360 3.779
Sr Ga Ti
4 4 2
Cartesian
-1.350 -2.700 4.873
-4.059 -1.113 7.139
-3.039 2.408 5.893
-0.330 0.821 3.627
-4.526 -3.005 4.324
-5.933 0.706 5.226
-3.235 2.353 2.662
-1.828 -1.358 1.760
0.000 0.000 0.000
-3.880 -0.326 3.493
```

Calculated total energy   -35.0 eV per cell


No. 3
VASP calculation (GGA-PBE) on SrTi3Ga after structural relaxation.

Geometry as POSCAR:
```
SrTi3Ga
1.0
-1.505 -3.984 -2.594
3.850 -2.617 1.786
-2.788 -1.464 3.866
Sr Ga Ti
1 1 3
Cartesian
-0.221 -4.032 1.529
0.000 0.000 0.000
1.925 -1.309 0.893
-1.394 -0.732 1.933
-0.752 -1.992 -1.297
```

Offset from the most stable computed form   0.0000 eV/atom


No. 4
VASP calculation (GGA-PBE) on SrTi2Ga after structural relaxation.

Geometry as POSCAR:
```
SrTi2Ga
1.0
-4.488 1.044 0.472
-0.370 -3.128 3.397
-0.093 5.973 8.648
Sr Ga Ti
2 2 4
Cartesian
0.000 0.000 0.000
-3.505 2.987 5.527
-2.429 -1.042 1.934
-1.446 0.901 6.990
-1.874 1.522 2.776
-1.817 -0.098 4.449
-1.974 3.000 8.695
-4.239 3.354 9.113
```

Calculated total energy   -37.3 eV per cell


What did we get for density? Answer: 4.64 4.33 4.03 3.92 g/cm3, in the order shown.